Compound: Mg2RuPb
Source: Alexandria via LeMat-Bulk
Functional: SCAN
Structure: PBEsol geometry

Summary:
Spin magnetization = 0.000 μB per cell
Calculated formation energy = -0.0202 eV/atom

Cell: 4.149 4.139 5.128 Å, 113.80 113.86 90.00°
Fractional positions:
Mg 0.000 0.000 0.000
Mg 0.750 0.250 0.500
Pb 0.500 0.500 0.000
Ru 0.250 0.750 0.500